No. 1
Entry from Alexandria via LeMat-Bulk: crystalline PmLuHgPt at its relaxed geometry (PBE).

Properties
The formation energy is -301 kJ/mol of formula units. The calculation puts the density at 12.577 g/cm³. As for the density of states at the Fermi level: 3.17 states/eV per cell.

Lattice parameters (Å, degrees): 5.1124 5.1124 5.1124 60.00 60.00 60.00
Last column: nearest neighbours and their distance in Å.
Element x y z (fractional)
Pm 0.0000 0.0000 0.0000  4 Hg 3.13, 4 Pt 3.13
Lu 0.5000 0.5000 0.5000  4 Hg 3.13, 4 Pt 3.13
Hg 0.7500 0.7500 0.7500  4 Pm 3.13, 4 Lu 3.13
Pt 0.2500 0.2500 0.2500  4 Lu 3.13, 4 Pm 3.13


No. 2
Entry from Alexandria via LeMat-Bulk: crystalline HfV2HIr at its relaxed geometry (PBE).

Properties
For the raw total energy, the calculation gives -41.882 eV for the cell shown. The calculation puts the density at 12.095 g/cm³. As for the density of states at the Fermi level: 4.98 states/eV per cell.

Lattice parameters (Å, degrees): 3.7939 3.7939 4.5173 90.00 90.00 90.00
Last column: nearest neighbours and their distance in Å.
Element x y z (fractional)
Hf 0.0000 0.0000 0.0000  2 H 2.26
V 0.0000 0.5000 0.5000  2 H 1.90
V 0.5000 0.0000 0.5000  2 H 1.90
H 0.0000 0.0000 0.5000  4 V 1.90
Ir 0.5000 0.5000 0.0000  4 Hf 2.68, 8 V 2.95


No. 3
Entry from Alexandria via LeMat-Bulk: crystalline Y2SiH at its relaxed geometry (PBE).

Properties
The calculation puts the density at 4.041 g/cm³. As for the density of states at the Fermi level: 6.86 states/eV per cell. The value obtained for the energy above the lowest structure with this stoichiometry is 0.006 eV/atom.

Lattice parameters (Å, degrees): 5.6028 5.6050 12.1163 90.00 116.64 90.00
Last column: nearest neighbours and their distance in Å.
Element x y z (fractional)
Y 0.1136 0.2308 0.1184  2 H 2.43-2.65
Y 0.1136 0.7692 0.6184  2 H 2.43-2.65
Y 0.3487 0.2412 0.8686  2 H 2.44-2.66
Y 0.3487 0.7588 0.3686  2 H 2.44-2.66
Y 0.6513 0.2412 0.6314  2 H 2.44-2.66
Y 0.6513 0.7588 0.1314  2 H 2.44-2.66
Y 0.8864 0.2308 0.3816  2 H 2.43-2.65
Y 0.8864 0.7692 0.8816  2 H 2.43-2.65
Si 0.3800 0.2579 0.3749  6 Y 2.78-2.81
Si 0.3800 0.7421 0.8749  6 Y 2.78-2.81
Si 0.6200 0.2579 0.1251  6 Y 2.78-2.81
Si 0.6200 0.7421 0.6251  6 Y 2.78-2.81
H 0.0785 0.2014 0.6244  4 Y 2.43-2.66
H 0.0785 0.7986 0.1244  4 Y 2.43-2.66
H 0.9215 0.2014 0.8756  4 Y 2.43-2.66
H 0.9215 0.7986 0.3756  4 Y 2.43-2.66


No. 4
Entry from Alexandria via LeMat-Bulk: crystalline ZnSe at its relaxed geometry (PBE).

Properties
The calculation puts the raw formation energy at -0.23 eV/atom. The calculation puts the density at 4.115 g/cm³.

Lattice parameters (Å, degrees): 8.4181 8.4181 5.4049 90.14 90.14 27.15
Last column: nearest neighbours and their distance in Å.
Element x y z (fractional)
Zn 0.0000 0.0000 0.0000  1 Zn 2.40, 2 Se 2.48
Zn 0.1019 0.1019 0.3195  1 Zn 2.40, 2 Se 2.53
Zn 0.3134 0.3134 0.8624  3 Se 2.35-2.46
Se 0.4532 0.4532 0.7624  3 Zn 2.35-2.48
Se 0.6896 0.6896 0.4409  2 Zn 2.53, 1 Se 2.56
Se 0.7245 0.7245 0.9029  2 Zn 2.46, 1 Se 2.56


No. 5
Entry from Alexandria via LeMat-Bulk: crystalline Y8Er3Tm3 at its relaxed geometry (PBE).

Properties
The formation energy is 174 kJ/mol of formula units. The calculation puts the density at 6.404 g/cm³. As for the density of states at the Fermi level: 22.79 states/eV per cell. The value obtained for the energy above the lowest structure with this stoichiometry is 0.000 eV/atom.

Lattice parameters (Å, degrees): 9.5769 9.5769 9.5769 146.00 111.89 78.36
Last column: nearest neighbours and their distance in Å.
Element x y z (fractional)
Y 0.0555 0.3967 0.6588  5 Y 3.07-3.41
Y 0.0646 0.2224 0.8422  6 Y 3.25-3.52, 2 Er 3.58, 1 Tm 3.63
Y 0.2621 0.6033 0.6588  5 Y 3.07-3.41
Y 0.3803 0.2224 0.1578  6 Y 3.25-3.52, 2 Er 3.58, 1 Tm 3.63
Y 0.6197 0.7776 0.8422  6 Y 3.25-3.52, 2 Er 3.58, 1 Tm 3.63
Y 0.7379 0.3967 0.3412  5 Y 3.07-3.41
Y 0.9354 0.7776 0.1578  6 Y 3.25-3.52, 2 Er 3.58, 1 Tm 3.63
Y 0.9445 0.6033 0.3412  5 Y 3.07-3.41
Er 0.3198 0.8198 0.5000  2 Tm 3.44, 8 Y 3.58-3.72
Er 0.5000 0.5000 0.0000  4 Tm 3.53, 4 Er 3.87
Er 0.6802 0.1802 0.5000  2 Tm 3.44, 8 Y 3.58-3.72
Tm 0.0000 0.0000 0.0000  2 Tm 3.21
Tm 0.2990 0.0000 0.2990  1 Tm 3.21, 4 Er 3.44-3.53, 4 Y 3.53
Tm 0.7010 0.0000 0.7010  1 Tm 3.21, 4 Er 3.44-3.53, 4 Y 3.53


No. 6
Entry from Alexandria via LeMat-Bulk: crystalline Pa2AlGe4 at its relaxed geometry (PBE).

Properties
The formation energy is 45 kJ/mol of formula units. The calculation puts the density at 8.160 g/cm³. As for the density of states at the Fermi level: 7.87 states/eV per cell.

Lattice parameters (Å, degrees): 8.0604 8.0604 8.0604 146.53 146.53 48.06
Last column: nearest neighbours and their distance in Å.
Element x y z (fractional)
Pa 0.1313 0.1313 0.0000  5 Ge 2.84-3.02
Pa 0.8687 0.8687 0.0000  5 Ge 2.84-3.02
Al 0.5000 0.5000 0.0000  6 Ge 2.32-2.59
Ge 0.0000 0.5000 0.5000  2 Al 2.32
Ge 0.3242 0.3242 0.0000  1 Al 2.59, 1 Pa 2.84
Ge 0.5000 0.0000 0.5000  2 Al 2.32
Ge 0.6758 0.6758 0.0000  1 Al 2.59, 1 Pa 2.84


Look up the density of the second one. 12.095 g/cm³